An optimized crystal structure of Hg4SbSeBr2, computed with GGA-PBE.

Calculated values
The total moment comes out at 0.000 μB per cell. For the formation energy (no corrections), the calculation gives -0.1238 eV/atom. The calculated total energy is -1.64 eV/atom.

POSCAR file:
```
Hg4SbSeBr2
1.0
5.878 -6.808 0.000
5.878 6.808 0.000
-5.723 0.000 5.901
Hg Sb Se Br
8 2 2 4
direct
0.215 0.783 0.983 Hg
0.217 0.785 0.517 Hg
0.218 0.272 0.495 Hg
0.272 0.218 0.995 Hg
0.728 0.782 0.005 Hg
0.782 0.728 0.505 Hg
0.783 0.215 0.483 Hg
0.785 0.217 0.017 Hg
0.000 0.000 0.000 Sb
0.000 0.000 0.500 Sb
0.000 0.500 0.500 Se
0.500 0.000 0.000 Se
0.000 0.500 0.000 Br
0.500 0.000 0.500 Br
0.500 0.500 0.000 Br
0.500 0.500 0.500 Br
```